! B4WAu (GGA-PBE, optimized geometry); values from VASP
&SYSTEM
  ibrav = 0, nat = 6, ntyp = 3
/
ATOMIC_SPECIES
Au 196.97 Au.upf
B 10.81 B.upf
W 183.84 W.upf
CELL_PARAMETERS angstrom
-1.541 2.473 3.852
1.541 -2.473 3.852
1.541 2.473 -3.852
ATOMIC_POSITIONS angstrom
Au 0.000 0.000 3.852
B 1.541 -0.903 1.714
B 1.541 0.903 1.714
B 0.000 1.570 2.138
B 0.000 3.376 2.138
W 0.000 0.000 0.000
! E above lowest polymorph: 270.1 meV per atom